DFT (PBE) results for a relaxed structure of TeIrN2F.

Geometry as POSCAR:
```
TeIrN2F
1.0
4.0123 0.0000 0.0000
0.0000 4.0123 0.0000
0.0000 0.0000 4.2033
Te Ir N F
1 1 2 1
Direct
0.0000 0.0000 0.0000 Te
0.5000 0.5000 0.0000 Ir
0.0000 0.5000 0.5000 N
0.5000 0.0000 0.5000 N
0.0000 0.0000 0.5000 F
```

Computed properties:
Energy relative to the lowest polymorph listed for this composition: 1733 meV per atom
Space group: P4/mmm
Total DFT energy (no corrections): -19.5 eV for the cell shown
Raw formation energy: 212.21 kJ/mol of atoms
Calculated volume: 67.7 Å³/cell